## Al2FeSe (SCAN)

Data for a crystal of Al2FeSe relaxed with PBEsol.

Calculated values
Uncorrected formation energy: -0.0135 eV per atom
Uncorrected energy: -13.4415 eV per atom
Total magnetic moment: 0.00 μB/f.u.
Crystal system: tetragonal

CIF file:
```
data_Al2FeSe
_symmetry_space_group_name_H-M 'P 1'
_symmetry_Int_Tables_number 1
_cell_length_a 2.812
_cell_length_b 2.812
_cell_length_c 7.788
_cell_angle_alpha 90.00
_cell_angle_beta 90.00
_cell_angle_gamma 90.00
loop_
_symmetry_equiv_pos_as_xyz
'x,y,z'
loop_
_atom_site_label
_atom_site_type_symbol
_atom_site_fract_x
_atom_site_fract_y
_atom_site_fract_z
Se1 Se 0.500 0.500 0.500
Al1 Al 0.000 0.000 0.822
Fe1 Fe 0.500 0.500 0.000
Al2 Al 0.000 0.000 0.178
```